First-principles (PBE) data for crystalline Ce2TeS6 at its relaxed geometry, as listed in the Alexandria database.

Unit cell a=6.266 b=6.266 c=12.490 alpha=90.00 beta=90.00 gamma=90.00
Space group P4_2/mnm (No. 136)
Symmetry-distinct sites (fractional):
Ce1 0.000 0.000 0.167 (multiplicity 4)
Te1 0.000 0.000 0.500 (multiplicity 2)
S1 0.190 0.190 0.338 (multiplicity 8)
S2 0.198 0.198 0.000 (multiplicity 4)

**Volume**: 490.5 Å³/cell
**Uncorrected formation energy**: -1.02 eV/atom